1.
Density functional theory data (SCAN) for a PBEsol-optimized structure of Fe2SbOs. Values from VASP.

The structure in Quantum ESPRESSO input format:
```
&SYSTEM
  ibrav = 0, nat = 4, ntyp = 3
/
ATOMIC_SPECIES
Fe 55.84 Fe.upf
Sb 121.76 Sb.upf
Os 190.23 Os.upf
CELL_PARAMETERS angstrom
-2.7756 1.1880 -0.7149
-1.0052 -2.8259 -0.7936
-1.7863 -0.8948 5.4484
ATOMIC_POSITIONS crystal
Fe 0.0000 0.0000 0.0197
Sb 0.5000 0.5000 0.7629
Os 0.0000 0.0000 0.4868
Fe 0.5000 0.5000 0.2306
```

Symmetry: P4mm, No. 99
Formation energy without anion corrections (meV per atom): 280
Calculated total energy (eV per atom): -36.070


2.
Density functional theory data (SCAN) for a PBEsol-optimized structure of MnZnCo2. Values from VASP.

The structure in Quantum ESPRESSO input format:
```
&SYSTEM
  ibrav = 0, nat = 4, ntyp = 3
/
ATOMIC_SPECIES
Zn 65.41 Zn.upf
Mn 54.94 Mn.upf
Co 58.93 Co.upf
CELL_PARAMETERS angstrom
2.5959 0.0000 0.0000
0.0000 3.4608 0.0000
0.0000 0.0000 5.1189
ATOMIC_POSITIONS crystal
Zn 0.5000 0.5000 0.7564
Mn 0.0000 0.0000 0.4874
Co 0.5000 0.5000 0.2414
Co 0.0000 0.0000 0.0147
```

Symmetry: Pmm2, No. 25
Calculated total energy (eV per atom): -16.691
Energy of formation (meV per atom): -97


3.
Density functional theory data (SCAN) for a PBEsol-optimized structure of Hf2CoAgSb. Values from VASP.

The structure in Quantum ESPRESSO input format:
```
&SYSTEM
  ibrav = 0, nat = 5, ntyp = 4
/
ATOMIC_SPECIES
Sb 121.76 Sb.upf
Co 58.93 Co.upf
Hf 178.49 Hf.upf
Ag 107.87 Ag.upf
CELL_PARAMETERS angstrom
-4.7967 -0.4282 -0.7592
-0.7495 -0.3995 4.9610
-0.4979 4.9978 0.3273
ATOMIC_POSITIONS crystal
Sb 0.5000 0.0000 0.0000
Co 0.5000 0.5000 0.5000
Hf 0.0000 0.5000 0.0000
Hf 0.0000 0.0000 0.5000
Ag 0.0000 0.0000 0.0000
```

Symmetry: P4/mmm, No. 123
Formation energy without anion corrections (meV per atom): 1279
Calculated total energy (eV per atom): -40.976


Look up the calculated total energy of the second one. -16.691 eV per atom


Which formula does entry 2 have? MnZnCo2


Which formula does entry 1 have? Fe2SbOs


Copy entry 2 word for word.
Density functional theory data (SCAN) for a PBEsol-optimized structure of MnZnCo2. Values from VASP.

The structure in Quantum ESPRESSO input format:
```
&SYSTEM
  ibrav = 0, nat = 4, ntyp = 3
/
ATOMIC_SPECIES
Zn 65.41 Zn.upf
Mn 54.94 Mn.upf
Co 58.93 Co.upf
CELL_PARAMETERS angstrom
2.5959 0.0000 0.0000
0.0000 3.4608 0.0000
0.0000 0.0000 5.1189
ATOMIC_POSITIONS crystal
Zn 0.5000 0.5000 0.7564
Mn 0.0000 0.0000 0.4874
Co 0.5000 0.5000 0.2414
Co 0.0000 0.0000 0.0147
```

Symmetry: Pmm2, No. 25
Calculated total energy (eV per atom): -16.691
Energy of formation (meV per atom): -97